1.
VASP calculation (PBEsol) on a relaxed structure of RbCa3O.

Summary:
* magnetization: 0.00 μB/f.u.
* E_tot: -15.95 eV per cell
* uncorrected formation energy: -0.656 eV per atom
* crystal system: cubic
* DOS at the Fermi energy: 4.3 states/eV/f.u.

Lattice parameters (Å, degrees): 5.297 5.297 5.297 90.00 90.00 90.00
Space group Pm-3m (No. 221)
Symmetry-distinct sites (fractional):
Rb 0.000 0.000 0.000 [1 per cell]
Ca 0.000 0.500 0.500 [3 per cell]
O 0.500 0.500 0.500 [1 per cell]

***

2.
VASP calculation (PBEsol) on a relaxed structure of RbCa2Ta3O10.

Summary:
* magnetization: 0.00 μB/f.u.
* E_tot: -141.76 eV per cell
* uncorrected formation energy: -2.895 eV per atom
* crystal system: tetragonal
* DOS at the Fermi energy: 0.0 states/eV/f.u.

Lattice parameters (Å, degrees): 3.903 3.903 15.075 90.00 90.00 90.00
Space group P4/mmm (No. 123)
Symmetry-distinct sites (fractional):
Rb 0.000 0.000 0.000 [1 per cell]
Ca 0.000 0.000 0.350 [2 per cell]
Ta 0.500 0.500 0.220 [2 per cell]
Ta 0.500 0.500 0.500 [1 per cell]
O 0.000 0.500 0.248 [4 per cell]
O 0.000 0.500 0.500 [2 per cell]
O 0.500 0.500 0.101 [2 per cell]
O 0.500 0.500 0.370 [2 per cell]

***

3.
VASP calculation (PBEsol) on a relaxed structure of Rb2CaV2O7.

Summary:
* magnetization: 0.00 μB/f.u.
* E_tot: -362.05 eV per cell
* uncorrected formation energy: -2.526 eV per atom
* crystal system: monoclinic
* DOS at the Fermi energy: 0.0 states/eV/f.u.

Lattice parameters (Å, degrees): 10.267 5.964 14.916 90.00 115.98 90.00
Space group P2_1/c (No. 14)
Symmetry-distinct sites (fractional):
Rb 0.007 0.220 0.378 [4 per cell]
Rb 0.476 0.738 0.330 [4 per cell]
Ca 0.273 0.739 0.524 [4 per cell]
V 0.159 0.231 0.141 [4 per cell]
V 0.329 0.231 0.378 [4 per cell]
O 0.020 0.705 0.432 [4 per cell]
O 0.177 0.188 0.763 [4 per cell]
O 0.227 0.059 0.598 [4 per cell]
O 0.245 0.514 0.646 [4 per cell]
O 0.298 0.530 0.908 [4 per cell]
O 0.331 0.083 0.963 [4 per cell]
O 0.484 0.237 0.363 [4 per cell]

***

4.
VASP calculation (PBEsol) on a relaxed structure of CaRh2O4.

Summary:
* magnetization: 0.00 μB/f.u.
* E_tot: -198.71 eV per cell
* uncorrected formation energy: -1.467 eV per atom
* crystal system: orthorhombic

Lattice parameters (Å, degrees): 8.936 3.115 10.714 90.00 90.00 90.00
Space group Pnma (No. 62)
Symmetry-distinct sites (fractional):
Ca 0.233 0.250 0.160 [4 per cell]
Rh 0.053 0.250 0.383 [4 per cell]
Rh 0.092 0.250 0.902 [4 per cell]
O 0.045 0.750 0.788 [4 per cell]
O 0.087 0.250 0.573 [4 per cell]
O 0.118 0.750 0.026 [4 per cell]
O 0.192 0.750 0.332 [4 per cell]

***

5.
VASP calculation (PBEsol) on a relaxed structure of CaRhO3.

Summary:
* magnetization: 0.93 μB/f.u.
* E_tot: -139.25 eV per cell
* uncorrected formation energy: -1.759 eV per atom
* crystal system: orthorhombic
* DOS at the Fermi energy: 2.5 states/eV/f.u.

Lattice parameters (Å, degrees): 3.107 9.706 7.254 90.00 90.00 90.00
Space group Cmcm (No. 63)
Symmetry-distinct sites (fractional):
Ca 0.000 0.250 0.250 [4 per cell]
Rh 0.000 0.000 0.000 [4 per cell]
O 0.000 0.076 0.750 [4 per cell]
O 0.000 0.373 0.552 [8 per cell]

***

6.
VASP calculation (PBEsol) on a relaxed structure of CaRhO3.

Summary:
* magnetization: 0.89 μB/f.u.
* E_tot: -138.88 eV per cell
* uncorrected formation energy: -1.740 eV per atom
* crystal system: orthorhombic
* DOS at the Fermi energy: 3.6 states/eV/f.u.

Lattice parameters (Å, degrees): 5.556 7.586 5.271 90.00 90.00 90.00
Space group Pnma (No. 62)
Symmetry-distinct sites (fractional):
Ca 0.066 0.250 0.019 [4 per cell]
Rh 0.000 0.000 0.500 [4 per cell]
O 0.034 0.750 0.396 [4 per cell]
O 0.197 0.552 0.809 [8 per cell]

***

7.
VASP calculation (PBEsol) on a relaxed structure of CaRuO3.

Summary:
* magnetization: 1.25 μB/f.u.
* E_tot: -149.70 eV per cell
* uncorrected formation energy: -1.874 eV per atom
* crystal system: orthorhombic
* DOS at the Fermi energy: 3.9 states/eV/f.u.

Lattice parameters (Å, degrees): 5.536 7.594 5.287 90.00 90.00 90.00
Space group Pnma (No. 62)
Symmetry-distinct sites (fractional):
Ca 0.061 0.250 0.018 [4 per cell]
Ru 0.000 0.000 0.500 [4 per cell]
O 0.027 0.750 0.402 [4 per cell]
O 0.202 0.549 0.804 [8 per cell]

***

8.
VASP calculation (PBEsol) on a relaxed structure of Ca3Ru4O14.

Summary:
* magnetization: 0.96 μB/f.u.
* E_tot: -453.95 eV per cell
* uncorrected formation energy: -1.464 eV per atom
* crystal system: trigonal
* DOS at the Fermi energy: 17.7 states/eV/f.u.

Lattice parameters (Å, degrees): 7.1707 7.1707 17.4122 90.00 90.00 120.00
Space group R-3m (No. 166, hexagonal axes)
Symmetry-distinct sites (fractional):
Ca 0.0000 0.5000 0.0000 [9 per cell]
Ru 0.0000 0.0000 0.0000 [3 per cell]
Ru 0.0000 0.5000 0.5000 [9 per cell]
O 0.0000 0.0000 0.3670 [6 per cell]
O 0.0753 0.5376 0.6068 [18 per cell]
O 0.0859 0.5429 0.8556 [18 per cell]

***

Repeat the first record exactly.
VASP calculation (PBEsol) on a relaxed structure of RbCa3O.

Summary:
* magnetization: 0.00 μB/f.u.
* E_tot: -15.95 eV per cell
* uncorrected formation energy: -0.656 eV per atom
* crystal system: cubic
* DOS at the Fermi energy: 4.3 states/eV/f.u.

Lattice parameters (Å, degrees): 5.297 5.297 5.297 90.00 90.00 90.00
Space group Pm-3m (No. 221)
Symmetry-distinct sites (fractional):
Rb 0.000 0.000 0.000 [1 per cell]
Ca 0.000 0.500 0.500 [3 per cell]
O 0.500 0.500 0.500 [1 per cell]